DFT (PBE) results for an optimized crystal structure of YTiAl3.

a b c (Å): 5.1985 5.1985 5.1985
angles (deg): 90.00 90.00 90.00
Last column: nearest neighbours and their distance in Å.
Space group Pm-3m (No. 221)
Symmetry-distinct sites (fractional):
Y: 0.0000 0.0000 0.0000  6 Al 2.60
Ti: 0.5000 0.5000 0.5000  12 Al 3.68
Al: 0.0000 0.0000 0.5000  2 Y 2.60

Summary:
- Magnetization: 0.4 μB per cell
- Energy above the most stable polymorph in this dataset: 564 kJ/mol of formula units
- DFT formation energy: 6.88 eV per formula unit

=====

DFT (PBE) results for an optimized crystal structure of YTi2Al2.

a b c (Å): 4.0479 4.0479 12.5307
angles (deg): 90.00 90.00 90.00
Last column: nearest neighbours and their distance in Å.
Space group I4/mmm (No. 139)
Symmetry-distinct sites (fractional):
Y: 0.0000 0.0000 0.0000  8 Al 3.14
Ti: 0.0000 0.5000 0.2500  4 Al 2.74, 4 Ti 2.86
Al: 0.0000 0.0000 0.3975  1 Al 2.57, 4 Ti 2.74

Summary:
- Magnetization: 3.8 μB per cell
- Energy above the most stable polymorph in this dataset: 10 kJ/mol of formula units
- DFT formation energy: -1.10 eV per formula unit

=====

DFT (PBE) results for an optimized crystal structure of YTi2Al2.

a b c (Å): 7.7669 7.7669 3.1887
angles (deg): 90.00 90.00 90.00
Last column: nearest neighbours and their distance in Å.
Space group P4/mbm (No. 127)
Symmetry-distinct sites (fractional):
Y: 0.0000 0.0000 0.0000  4 Al 3.09, 2 Y 3.19, 8 Ti 3.28
Ti: 0.1745 0.3255 0.5000  6 Al 2.76-2.82
Al: 0.1204 0.6204 0.0000  1 Al 2.64, 6 Ti 2.76-2.82

Summary:
- Magnetization: 0.0 μB per cell
- Energy above the most stable polymorph in this dataset: 0 kJ/mol of formula units
- DFT formation energy: -1.20 eV per formula unit

=====

DFT (PBE) results for an optimized crystal structure of Y3TiAl.

a b c (Å): 5.2799 5.2799 5.2799
angles (deg): 90.00 90.00 90.00
Last column: nearest neighbours and their distance in Å.
Space group Pm-3m (No. 221)
Symmetry-distinct sites (fractional):
Y: 0.0000 0.0000 0.5000  2 Ti 2.64
Ti: 0.0000 0.0000 0.0000  6 Y 2.64
Al: 0.5000 0.5000 0.5000  12 Y 3.73

Summary:
- Magnetization: 0.0 μB per cell
- Energy above the most stable polymorph in this dataset: 0 kJ/mol of formula units
- DFT formation energy: 2.94 eV per formula unit

=====

DFT (PBE) results for an optimized crystal structure of Y3TiAl8.

a b c (Å): 5.4628 5.4628 26.8726
angles (deg): 90.00 90.00 120.00
Last column: nearest neighbours and their distance in Å.
Space group R3m (No. 160, hexagonal axes)
Symmetry-distinct sites (fractional):
Y: 0.0000 0.0000 0.0000  12 Al 3.13-3.20, 3 Ti 3.33-3.34, 1 Y 3.39
Y: 0.0000 0.0000 0.1263  12 Al 3.20-3.26, 4 Y 3.37-3.39
Y: 0.0000 0.0000 0.5036  12 Al 3.20-3.32, 1 Ti 3.30, 3 Y 3.37
Ti: 0.0000 0.0000 0.6263  12 Al 3.16-3.20, 4 Y 3.30-3.34
Al: 0.0000 0.0000 0.3136  6 Al 2.69-2.70
Al: 0.0000 0.0000 0.8142  6 Al 2.78-2.79
Al: 0.0005 0.5003 0.5659  6 Al 2.69-2.78
Al: 0.1676 0.3352 0.3950  6 Al 2.70-2.79

Summary:
- Magnetization: 0.0 μB per cell
- DFT formation energy: -5.45 eV per formula unit

=====

DFT (PBE) results for an optimized crystal structure of YTiAl3.

a b c (Å): 4.8680 4.8680 4.8680
angles (deg): 90.00 90.00 90.00
Last column: nearest neighbours and their distance in Å.
Space group Pm-3m (No. 221)
Symmetry-distinct sites (fractional):
Y: 0.0000 0.0000 0.0000  12 Al 3.44
Ti: 0.5000 0.5000 0.5000  6 Al 2.43
Al: 0.0000 0.5000 0.5000  2 Ti 2.43

Summary:
- Magnetization: 0.3 μB per cell
- Energy above the most stable polymorph in this dataset: 0 kJ/mol of formula units
- DFT formation energy: 1.03 eV per formula unit

=====

DFT (PBE) results for an optimized crystal structure of YTi2Al.

a b c (Å): 4.0974 4.0974 19.9999
angles (deg): 90.00 90.00 90.00
Last column: nearest neighbours and their distance in Å.
Space group I-42d (No. 122)
Symmetry-distinct sites (fractional):
Y: 0.0000 0.0000 0.0000  4 Al 2.90, 4 Ti 2.91
Ti: 0.2344 0.2500 0.6250  4 Ti 2.81-2.99, 2 Al 2.87, 2 Y 2.91
Al: 0.0000 0.0000 0.5000  4 Ti 2.87, 4 Y 2.90

Summary:
- Magnetization: 0.0 μB per cell
- DFT formation energy: 1.22 eV per formula unit

=====

DFT (PBE) results for an optimized crystal structure of YTi2Al2.

a b c (Å): 4.2487 4.2487 11.4632
angles (deg): 90.00 90.00 90.00
Last column: nearest neighbours and their distance in Å.
Space group I4/mmm (No. 139)
Symmetry-distinct sites (fractional):
Y: 0.0000 0.0000 0.0000  8 Ti 3.24, 8 Al 3.57
Ti: 0.0000 0.0000 0.3934  1 Ti 2.44, 4 Al 2.69
Al: 0.0000 0.5000 0.2500  4 Ti 2.69, 4 Al 3.00

Summary:
- Magnetization: 1.9 μB per cell
- Energy above the most stable polymorph in this dataset: 151 kJ/mol of formula units
- DFT formation energy: 0.36 eV per formula unit

=====

DFT (PBE) results for an optimized crystal structure of YTiAl4.

a b c (Å): 7.5925 7.5925 7.5925
angles (deg): 90.00 90.00 90.00
Last column: nearest neighbours and their distance in Å.
Space group F-43m (No. 216)
Symmetry-distinct sites (fractional):
Y: 0.0000 0.0000 0.0000  12 Al 3.15, 4 Ti 3.29
Ti: 0.2500 0.2500 0.2500  12 Al 3.15, 4 Y 3.29
Al: 0.1245 0.1245 0.6245  6 Al 2.67-2.69

Summary:
- Magnetization: 0.0 μB per cell
- DFT formation energy: -2.34 eV per formula unit

=====

DFT (PBE) results for an optimized crystal structure of YTi2Al2.

a b c (Å): 8.1009 8.1009 2.9329
angles (deg): 90.00 90.00 90.00
Last column: nearest neighbours and their distance in Å.
Space group P4/mbm (No. 127)
Symmetry-distinct sites (fractional):
Y: 0.0000 0.0000 0.0000  2 Y 2.93, 4 Ti 3.26
Ti: 0.1142 0.3858 0.0000  1 Ti 2.62, 6 Al 2.79-2.83
Al: 0.1782 0.6782 0.5000  6 Ti 2.79-2.83, 2 Al 2.93

Summary:
- Magnetization: 3.1 μB per cell
- Energy above the most stable polymorph in this dataset: 8 kJ/mol of formula units
- DFT formation energy: -1.11 eV per formula unit

=====

DFT (PBE) results for an optimized crystal structure of Y3TiAl.

a b c (Å): 5.4924 5.4924 5.4924
angles (deg): 90.00 90.00 90.00
Last column: nearest neighbours and their distance in Å.
Space group Pm-3m (No. 221)
Symmetry-distinct sites (fractional):
Y: 0.0000 0.0000 0.5000  2 Al 2.75
Ti: 0.5000 0.5000 0.5000  12 Y 3.88
Al: 0.0000 0.0000 0.0000  6 Y 2.75

Summary:
- Magnetization: 5.0 μB per cell
- Energy above the most stable polymorph in this dataset: 21 kJ/mol of formula units
- DFT formation energy: 3.16 eV per formula unit

=====

DFT (PBE) results for an optimized crystal structure of YTiAlZn.

a b c (Å): 6.7685 6.7685 6.7685
angles (deg): 90.00 90.00 90.00
Last column: nearest neighbours and their distance in Å.
Space group F-43m (No. 216)
Symmetry-distinct sites (fractional):
Y: 0.0000 0.0000 0.0000  4 Al 2.93, 4 Zn 2.93
Ti: 0.0000 0.0000 0.5000  4 Al 2.93, 4 Zn 2.93
Al: 0.2500 0.2500 0.7500  4 Ti 2.93, 4 Y 2.93
Zn: 0.2500 0.2500 0.2500  4 Ti 2.93, 4 Y 2.93

Summary:
- Magnetization: 0.0 μB per cell
- DFT formation energy: -0.89 eV per formula unit

=====

DFT (PBE) results for an optimized crystal structure of Yb6Ti4Al43.

a b c (Å): 11.0891 11.0891 17.8200
angles (deg): 90.00 90.00 120.00
Last column: nearest neighbours and their distance in Å.
Space group P6_3/mcm (No. 193)
Symmetry-distinct sites (fractional):
Yb: 0.0000 0.4700 0.0951  14 Al 3.09-3.41, 1 Yb 3.45
Ti: 0.0000 0.0000 0.0000  12 Al 2.70-2.85
Ti: 0.0000 0.2709 0.2500  10 Al 2.60-2.73
Al: 0.0000 0.1469 0.7500  2 Ti 2.60, 10 Al 2.82-2.91
Al: 0.0000 0.1550 0.1165  2 Ti 2.70, 9 Al 2.75-2.98
Al: 0.0000 0.2529 0.5297  9 Al 2.76-3.00, 1 Ti 2.85
Al: 0.1503 0.5517 0.2500  1 Ti 2.70, 7 Al 2.79-2.89
Al: 0.1582 0.3930 0.6635  1 Ti 2.73, 7 Al 2.75-3.04
Al: 0.2472 0.4943 0.0000  6 Al 2.76-2.87
Al: 0.3333 0.6667 0.1253  9 Al 2.75-2.84

Summary:
- Magnetization: 0.0 μB per cell
- DFT formation energy: -16.53 eV per formula unit

=====

DFT (PBE) results for an optimized crystal structure of YbTi2Al20.

a b c (Å): 14.6705 14.6705 14.6705
angles (deg): 90.00 90.00 90.00
Last column: nearest neighbours and their distance in Å.
Space group Fd-3m (No. 227, origin choice 2)
Symmetry-distinct sites (fractional):
Yb: 0.1250 0.1250 0.1250  16 Al 3.18-3.23
Ti: 0.0000 0.0000 0.5000  12 Al 2.60-2.86
Al: 0.0000 0.0000 0.0000  12 Al 3.12, 2 Yb 3.18
Al: 0.0141 0.3750 0.8750  2 Ti 2.60, 10 Al 2.73-2.89
Al: 0.0595 0.0595 0.3244  8 Al 2.72-2.98, 1 Ti 2.86

Summary:
- Magnetization: 0.0 μB per cell
- DFT formation energy: -5.22 eV per formula unit

=====

DFT (PBE) results for an optimized crystal structure of Ti7Al3Zn2.

a b c (Å): 4.2218 26.2303 3.7004
angles (deg): 90.00 90.00 90.00
Last column: nearest neighbours and their distance in Å.
Space group Cmmm (No. 65)
Symmetry-distinct sites (fractional):
Ti: 0.0000 0.0000 0.0000  8 Ti 2.73-3.00, 4 Al 2.81
Ti: 0.0000 0.0764 0.5000  6 Ti 2.73-2.81, 2 Zn 2.84, 2 Al 2.91
Ti: 0.0000 0.2609 0.0000  2 Ti 2.19
Ti: 0.0000 0.4190 0.0000  6 Ti 2.81-3.00, 4 Al 2.81-2.82, 2 Zn 2.93
Al: 0.0000 0.3382 0.5000  4 Ti 2.75-2.81, 4 Zn 2.81
Al: 0.0000 0.5000 0.5000  12 Ti 2.81-2.91
Zn: 0.0000 0.1586 0.0000  7 Ti 2.68-2.99, 4 Al 2.81

Summary:
- Magnetization: 0.0 μB per cell
- DFT formation energy: 0.26 eV per formula unit

=====

DFT (PBE) results for an optimized crystal structure of Ti4Al2Zn5.

a b c (Å): 6.8026 2.8582 8.9831
angles (deg): 90.00 93.88 90.00
Last column: nearest neighbours and their distance in Å.
Space group P2/m (No. 10)
Symmetry-distinct sites (fractional):
Ti: 0.1482 0.0000 0.3940  2 Al 2.74, 8 Zn 2.81-2.97, 3 Ti 2.86-2.87
Ti: 0.2917 0.0000 0.9469  4 Al 2.82, 6 Zn 2.83-2.92, 3 Ti 2.86-2.93
Al: 0.0557 0.5000 0.1381  1 Al 2.55, 2 Zn 2.57-2.58, 6 Ti 2.74-2.82
Zn: 0.2033 0.5000 0.6668  1 Al 2.57, 4 Zn 2.59-2.86, 4 Ti 2.81-2.84
Zn: 0.4293 0.5000 0.2107  1 Al 2.58, 4 Zn 2.61-2.86, 4 Ti 2.83-2.87
Zn: 0.5000 0.5000 0.5000  6 Zn 2.59-2.86, 4 Ti 2.89

Summary:
- Magnetization: 0.5 μB per cell
- DFT formation energy: -2.17 eV per formula unit

=====

DFT (PBE) results for an optimized crystal structure of Ti2AlZn6.

a b c (Å): 4.3038 5.3825 12.9156
angles (deg): 90.00 90.00 90.00
Last column: nearest neighbours and their distance in Å.
Space group Immm (No. 71)
Symmetry-distinct sites (fractional):
Ti: 0.0000 0.0000 0.1015  1 Ti 2.62, 10 Zn 2.82-2.89
Al: 0.0000 0.5000 0.0000  4 Zn 2.58
Zn: 0.0000 0.2482 0.2998  5 Zn 2.51-2.71
Zn: 0.0000 0.2635 0.5000  4 Zn 2.55-2.84, 2 Al 2.58, 4 Ti 2.82

Summary:
- Magnetization: 2.4 μB per cell
- Energy above the most stable polymorph in this dataset: 96 kJ/mol of formula units
- DFT formation energy: -0.08 eV per formula unit

=====

DFT (PBE) results for an optimized crystal structure of Ti4Al11Zn.

a b c (Å): 3.8992 3.8992 16.5884
angles (deg): 90.00 90.00 90.00
Last column: nearest neighbours and their distance in Å.
Space group P4mm (No. 99)
Symmetry-distinct sites (fractional):
Ti: 0.0000 0.0000 0.0000  12 Al 2.76-2.93
Ti: 0.0000 0.0000 0.2362  8 Al 2.75-2.89, 4 Zn 2.76
Ti: 0.5000 0.5000 0.4991  12 Al 2.76-2.96
Ti: 0.5000 0.5000 0.7360  12 Al 2.76-2.93
Al: 0.0000 0.0000 0.4890  4 Ti 2.76, 8 Al 2.84-2.88
Al: 0.0000 0.0000 0.7425  4 Ti 2.76, 8 Al 2.85-2.86
Al: 0.0000 0.5000 0.1195  4 Ti 2.75-2.78, 6 Al 2.76-2.85, 2 Zn 2.79
Al: 0.0000 0.5000 0.3645  6 Al 2.76-2.84, 2 Zn 2.84, 4 Ti 2.89-2.96
Al: 0.0000 0.5000 0.6170  8 Al 2.76-2.88, 4 Ti 2.76-2.77
Al: 0.0000 0.5000 0.8682  8 Al 2.76-2.86, 4 Ti 2.93
Al: 0.5000 0.5000 0.9941  4 Ti 2.76, 8 Al 2.85-2.86
Zn: 0.5000 0.5000 0.2402  4 Ti 2.76, 8 Al 2.79-2.84

Summary:
- Magnetization: 0.0 μB per cell
- DFT formation energy: -6.19 eV per formula unit